! BaTlRe4, relaxed, DFT PBE; values from VASP
&SYSTEM
  ibrav = 0, nat = 6, ntyp = 3
/
ATOMIC_SPECIES
Ba 137.33 Ba.upf
Re 186.21 Re.upf
Tl 204.38 Tl.upf
CELL_PARAMETERS angstrom
0.000 3.906 3.906
3.906 0.000 3.906
3.906 3.906 0.000
ATOMIC_POSITIONS angstrom
Ba 0.000 0.000 0.000
Re 4.878 4.878 2.934
Re 2.934 2.934 2.934
Re 4.878 2.934 4.878
Re 2.934 4.878 4.878
Tl 5.859 5.859 5.859
! Symmetry ... F-43m
! Size of the total moment ... 0.00 Bohr magnetons per cell
! Total DFT energy (no corrections) ... -8.063 eV per atom